1.
# TbCoSi2 PBE optimized geometry
data_TbCoSi2
_chemical_formula_sum 'Tb4 Co4 Si8'
_space_group_name_H-M_alt 'C m c m'
_space_group_IT_number 63
_space_group_name_Hall '-C 2c 2'
_cell_length_a 4.0334
_cell_length_b 16.2021
_cell_length_c 3.9847
_cell_angle_alpha 90.00
_cell_angle_beta 90.00
_cell_angle_gamma 90.00
loop_
_atom_site_label
_atom_site_type_symbol
_atom_site_fract_x
_atom_site_fract_y
_atom_site_fract_z
_atom_site_occupancy
Tb1 Tb 0.0000 0.1071 0.2500 1
Co1 Co 0.0000 0.3203 0.2500 1
Si1 Si 0.0000 0.2499 0.7500 1
Si2 Si 0.0000 0.4572 0.2500 1
# total energy	-103.0	eV per cell



2.
# Tb2Co3Si5 PBE optimized geometry
data_Tb2Co3Si5
_chemical_formula_sum 'Tb8 Co12 Si20'
_space_group_name_H-M_alt 'C 1 2/c 1'
_space_group_IT_number 15
_space_group_name_Hall '-C 2yc'
_cell_length_a 10.7592
_cell_length_b 11.4105
_cell_length_c 5.5031
_cell_angle_alpha 90.00
_cell_angle_beta 118.68
_cell_angle_gamma 90.00
loop_
_atom_site_label
_atom_site_type_symbol
_atom_site_fract_x
_atom_site_fract_y
_atom_site_fract_z
_atom_site_occupancy
Tb1 Tb 0.2343 0.1349 0.2370 1
Co1 Co 0.0000 0.4957 0.7500 1
Co2 Co 0.0999 0.1375 0.6273 1
Si1 Si 0.0000 0.0117 0.2500 1
Si2 Si 0.0000 0.2681 0.2500 1
Si3 Si 0.0000 0.2842 0.7500 1
Si4 Si 0.1613 0.3997 0.1639 1
# energy above the lowest structure with this stoichiometry	0	meV/atom
# total energy	-261.8	eV per cell



3.
# Tb2CoSi2 PBE optimized geometry
data_Tb2CoSi2
_chemical_formula_sum 'Tb8 Co4 Si8'
_space_group_name_H-M_alt 'C 1 2/m 1'
_space_group_IT_number 12
_space_group_name_Hall '-C 2y'
_cell_length_a 10.4995
_cell_length_b 4.1363
_cell_length_c 10.0267
_cell_angle_alpha 90.00
_cell_angle_beta 119.35
_cell_angle_gamma 90.00
loop_
_atom_site_label
_atom_site_type_symbol
_atom_site_fract_x
_atom_site_fract_y
_atom_site_fract_z
_atom_site_occupancy
Tb1 Tb 0.0012 0.0000 0.1719 1
Tb2 Tb 0.1862 0.0000 0.6058 1
Co1 Co 0.2266 0.5000 0.8794 1
Si1 Si 0.0045 0.5000 0.3735 1
Si2 Si 0.1536 0.5000 0.0666 1
# total energy	-123.9	eV per cell



4.
# Tb2Co3Si5 PBE optimized geometry
data_Tb2Co3Si5
_chemical_formula_sum 'Tb8 Co12 Si20'
_space_group_name_H-M_alt 'I b a m'
_space_group_IT_number 72
_space_group_name_Hall '-I 2 2c'
_cell_length_a 9.5305
_cell_length_b 11.2604
_cell_length_c 5.5452
_cell_angle_alpha 90.00
_cell_angle_beta 90.00
_cell_angle_gamma 90.00
loop_
_atom_site_label
_atom_site_type_symbol
_atom_site_fract_x
_atom_site_fract_y
_atom_site_fract_z
_atom_site_occupancy
Tb1 Tb 0.2339 0.1337 0.0000 1
Co1 Co 0.0000 0.5000 0.2500 1
Co2 Co 0.1087 0.1378 0.5000 1
Si1 Si 0.0000 0.0000 0.2500 1
Si2 Si 0.0000 0.2729 0.2500 1
Si3 Si 0.1575 0.3990 0.0000 1
# energy above the lowest structure with this stoichiometry	4	meV/atom
# total energy	-261.6	eV per cell



5.
# TbCo2Si2 PBE optimized geometry
data_TbCo2Si2
_chemical_formula_sum 'Tb2 Co4 Si4'
_space_group_name_H-M_alt 'I 4/m m m'
_space_group_IT_number 139
_space_group_name_Hall '-I 4 2'
_cell_length_a 3.8821
_cell_length_b 3.8821
_cell_length_c 9.7449
_cell_angle_alpha 90.00
_cell_angle_beta 90.00
_cell_angle_gamma 90.00
loop_
_atom_site_label
_atom_site_type_symbol
_atom_site_fract_x
_atom_site_fract_y
_atom_site_fract_z
_atom_site_occupancy
Tb1 Tb 0.0000 0.0000 0.0000 1
Co1 Co 0.0000 0.5000 0.2500 1
Si1 Si 0.0000 0.0000 0.3713 1
# total energy	-67.6	eV per cell



6.
# TbCoSi2Tc PBE optimized geometry
data_TbCoSi2Tc
_chemical_formula_sum 'Tb2 Co2 Si4 Tc2'
_space_group_name_H-M_alt 'I -4 m 2'
_space_group_IT_number 119
_space_group_name_Hall 'I -4 -2'
_cell_length_a 4.0804
_cell_length_b 4.0804
_cell_length_c 9.6727
_cell_angle_alpha 90.00
_cell_angle_beta 90.00
_cell_angle_gamma 90.00
loop_
_atom_site_label
_atom_site_type_symbol
_atom_site_fract_x
_atom_site_fract_y
_atom_site_fract_z
_atom_site_occupancy
Tb1 Tb 0.0000 0.0000 0.0000 1
Co1 Co 0.0000 0.5000 0.7500 1
Si1 Si 0.0000 0.0000 0.3701 1
Tc1 Tc 0.0000 0.5000 0.2500 1
# total energy	-73.0	eV per cell



Q: Which formula does entry 4 have?
A: Tb2Co3Si5